RbFeF4 after structural relaxation. Source: the Alexandria database, functional PBE with a Hubbard U. Values from VASP.

total magnetization: 5.0 μB/f.u.
DOS at the Fermi energy: 0.0 states/eV/f.u.
symmetry: P4/mmm
DFT total energy: -29.845 eV/f.u.

Structure (Quantum ESPRESSO input):
```
&SYSTEM
  ibrav = 0, nat = 6, ntyp = 3
/
ATOMIC_SPECIES
Fe 55.84 Fe.upf
F 19.00 F.upf
Rb 85.47 Rb.upf
ATOMIC_POSITIONS angstrom
Fe 1.972 1.972 3.273
F 1.972 0.000 3.273
F 1.972 1.972 5.185
F 0.000 1.972 3.273
F 1.972 1.972 1.360
Rb 0.000 0.000 0.000
CELL_PARAMETERS angstrom
3.945 0.000 0.000
0.000 3.945 0.000
0.000 0.000 6.545
```